# Nb8Pd (PBE-GGA, relaxed)
# - E_form: -0.07 eV/atom
data_Nb8Pd
_chemical_formula_sum 'Nb8 Pd1'
_cell_length_a 8.5459
_cell_length_b 7.3175
_cell_length_c 5.5074
_cell_angle_alpha 82.27
_cell_angle_beta 58.05
_cell_angle_gamma 39.69
_symmetry_space_group_name_H-M 'P 1'
_symmetry_Int_Tables_number 1
loop_
_symmetry_equiv_pos_as_xyz
'x,y,z'
loop_
_atom_site_label
_atom_site_type_symbol
_atom_site_fract_x
_atom_site_fract_y
_atom_site_fract_z
Nb1 Nb 0.1643 0.1643 0.8357
Nb2 Nb 0.1663 0.8337 0.1663
Nb3 Nb 0.1670 0.4999 0.5001
Nb4 Nb 0.4999 0.1670 0.8330
Nb5 Nb 0.5001 0.8330 0.1670
Nb6 Nb 0.8330 0.5001 0.4999
Nb7 Nb 0.8337 0.1663 0.8337
Nb8 Nb 0.8357 0.8357 0.1643
Pd1 Pd 0.5000 0.5000 0.5000



# TbCeCo (PBE-GGA, relaxed)
# - E_form: -0.07 eV/atom
data_TbCeCo
_chemical_formula_sum 'Tb4 Ce4 Co4'
_cell_length_a 6.8253
_cell_length_b 6.9593
_cell_length_c 7.0299
_cell_angle_alpha 90.00
_cell_angle_beta 115.79
_cell_angle_gamma 90.00
_symmetry_space_group_name_H-M 'P 1'
_symmetry_Int_Tables_number 1
loop_
_symmetry_equiv_pos_as_xyz
'x,y,z'
loop_
_atom_site_label
_atom_site_type_symbol
_atom_site_fract_x
_atom_site_fract_y
_atom_site_fract_z
Tb1 Tb 0.2302 0.1760 0.0824
Tb2 Tb 0.2302 0.3240 0.5824
Tb3 Tb 0.7698 0.6760 0.4176
Tb4 Tb 0.7698 0.8240 0.9176
Ce1 Ce 0.2542 0.6895 0.9506
Ce2 Ce 0.2542 0.8105 0.4506
Ce3 Ce 0.7458 0.1895 0.5494
Ce4 Ce 0.7458 0.3105 0.0494
Co1 Co 0.0200 0.5347 0.1916
Co2 Co 0.0200 0.9653 0.6916
Co3 Co 0.9800 0.0347 0.3084
Co4 Co 0.9800 0.4653 0.8084



# VTcHOs2 (PBE-GGA, relaxed)
# - VASP energy: -9.042 eV/atom
data_VTcHOs2
_chemical_formula_sum 'V1 Tc1 H1 Os2'
_cell_length_a 3.8840
_cell_length_b 3.8840
_cell_length_c 3.8994
_cell_angle_alpha 90.00
_cell_angle_beta 90.00
_cell_angle_gamma 90.00
_symmetry_space_group_name_H-M 'P 1'
_symmetry_Int_Tables_number 1
loop_
_symmetry_equiv_pos_as_xyz
'x,y,z'
loop_
_atom_site_label
_atom_site_type_symbol
_atom_site_fract_x
_atom_site_fract_y
_atom_site_fract_z
V1 V 0.0000 0.0000 0.0000
Tc1 Tc 0.5000 0.5000 0.0000
H1 H 0.0000 0.0000 0.5000
Os1 Os 0.0000 0.5000 0.5000
Os2 Os 0.5000 0.0000 0.5000



# La4Sm3Al4 (PBE-GGA, relaxed)
# - E_form: -0.22 eV/atom
data_La4Sm3Al4
_chemical_formula_sum 'La4 Sm3 Al4'
_cell_length_a 10.8846
_cell_length_b 10.8846
_cell_length_c 10.8846
_cell_angle_alpha 160.89
_cell_angle_beta 129.05
_cell_angle_gamma 54.91
_symmetry_space_group_name_H-M 'P 1'
_symmetry_Int_Tables_number 1
loop_
_symmetry_equiv_pos_as_xyz
'x,y,z'
loop_
_atom_site_label
_atom_site_type_symbol
_atom_site_fract_x
_atom_site_fract_y
_atom_site_fract_z
La1 La 0.0049 0.8340 0.1709
La2 La 0.3369 0.1660 0.1709
La3 La 0.6631 0.8340 0.8291
La4 La 0.9951 0.1660 0.8291
Sm1 Sm 0.0000 0.5000 0.5000
Sm2 Sm 0.4079 0.4079 0.0000
Sm3 Sm 0.5921 0.5921 0.0000
Al1 Al 0.2782 0.0000 0.2782
Al2 Al 0.2785 0.7785 0.5000
Al3 Al 0.7215 0.2215 0.5000
Al4 Al 0.7218 0.0000 0.7218



no.,spin magnetization (μB per atom)
1,0.0000
2,0.0003
3,0.0000
4,0.0000